1.
Ba2NaAg3As4: optimized geometry, GGA-PBE.

Results
D(E_F) = 5.75 states/eV/cell
formation enthalpy at 0 K = -0.5076 eV per atom
V = 24.77 A^3/atom

abc: 4.708 4.708 11.173
angles: 90.00 90.00 90.00
Fractional coordinates of all 10 atoms:
Ba 0.000 0.500 0.244
Ba 0.500 0.000 0.756
Na 0.000 0.000 0.500
Ag 0.000 0.500 0.880
Ag 0.500 0.000 0.120
Ag 0.500 0.500 0.500
As 0.000 0.000 0.000
As 0.000 0.500 0.644
As 0.500 0.000 0.356
As 0.500 0.500 0.000

=====

2.
BaNiAgAs2: optimized geometry, GGA-PBE.

Results
D(E_F) = 13.35 states/eV/cell
formation enthalpy at 0 K = 1.6380 eV per atom
V = 38.55 A^3/atom

abc: 5.757 5.757 5.814
angles: 90.00 90.00 90.00
Fractional coordinates of all 5 atoms:
Ba 0.000 0.000 0.000
Ni 0.500 0.500 0.500
Ag 0.000 0.000 0.500
As 0.000 0.500 0.000
As 0.500 0.000 0.000

=====

3.
BaAgAs2O6: optimized geometry, GGA-PBE.

Results
D(E_F) = 3.01 states/eV/cell
formation energy without anion corrections = -1.20 eV/atom
V = 17.73 A^3/atom

abc: 6.690 6.690 6.690
angles: 53.06 53.06 53.06
Fractional coordinates of all 10 atoms:
Ba 0.000 0.000 0.000
Ag 0.500 0.500 0.500
As 0.266 0.266 0.266
As 0.734 0.734 0.734
O 0.052 0.492 0.720
O 0.280 0.948 0.508
O 0.492 0.720 0.052
O 0.508 0.280 0.948
O 0.720 0.052 0.492
O 0.948 0.508 0.280

=====

4.
BaAgAsO4: optimized geometry, GGA-PBE.

Results
formation energy without anion corrections = -1.17 eV/atom
V = 25.33 A^3/atom

abc: 6.306 6.306 6.306
angles: 60.00 60.00 60.00
Fractional coordinates of all 7 atoms:
Ba 0.000 0.000 0.000
Ag 0.250 0.250 0.250
As 0.500 0.500 0.500
O 0.390 0.390 0.390
O 0.390 0.390 0.831
O 0.390 0.831 0.390
O 0.831 0.390 0.390

=====

5.
Ba3AgAs2O8: optimized geometry, GGA-PBE.

Results
D(E_F) = 2.16 states/eV/cell
formation energy without anion corrections = -1.87 eV/atom
V = 17.98 A^3/atom

abc: 5.972 5.972 8.149
angles: 90.00 90.00 120.00
Fractional coordinates of all 14 atoms:
Ba 0.000 0.000 0.000
Ba 0.333 0.667 0.670
Ba 0.667 0.333 0.330
Ag 0.000 0.000 0.500
As 0.333 0.667 0.190
As 0.667 0.333 0.810
O 0.176 0.352 0.269
O 0.176 0.824 0.269
O 0.333 0.667 0.977
O 0.352 0.176 0.731
O 0.648 0.824 0.269
O 0.667 0.333 0.023
O 0.824 0.176 0.731
O 0.824 0.648 0.731

=====

6.
Ba2AgAs4Pd3: optimized geometry, GGA-PBE.

Results
D(E_F) = 5.62 states/eV/cell
formation enthalpy at 0 K = -0.7001 eV per atom
V = 22.09 A^3/atom

abc: 4.612 4.612 10.388
angles: 90.00 90.00 90.00
Fractional coordinates of all 10 atoms:
Ba 0.000 0.500 0.248
Ba 0.500 0.000 0.752
Ag 0.000 0.000 0.500
As 0.000 0.000 0.000
As 0.000 0.500 0.636
As 0.500 0.000 0.364
As 0.500 0.500 0.000
Pd 0.000 0.500 0.887
Pd 0.500 0.000 0.113
Pd 0.500 0.500 0.500

=====

7.
BaAgAs2Pd: optimized geometry, GGA-PBE.

Results
D(E_F) = 3.91 states/eV/cell
formation enthalpy at 0 K = -0.5203 eV per atom
V = 24.92 A^3/atom

abc: 6.030 6.030 7.690
angles: 90.00 90.00 116.96
Fractional coordinates of all 10 atoms:
Ba 0.250 0.750 0.776
Ba 0.750 0.250 0.224
Ag 0.000 0.000 0.500
Ag 0.500 0.500 0.500
As 0.124 0.876 0.205
As 0.376 0.624 0.205
As 0.624 0.376 0.795
As 0.876 0.124 0.795
Pd 0.250 0.250 0.000
Pd 0.750 0.750 0.000

=====

8.
Ba2AgAs3Pd4: optimized geometry, GGA-PBE.

Results
D(E_F) = 5.07 states/eV/cell
formation enthalpy at 0 K = -0.6596 eV per atom
V = 21.84 A^3/atom

abc: 4.577 4.577 10.426
angles: 90.00 90.00 90.00
Fractional coordinates of all 10 atoms:
Ba 0.000 0.500 0.249
Ba 0.500 0.000 0.751
Ag 0.500 0.500 0.000
As 0.000 0.000 0.000
As 0.000 0.500 0.621
As 0.500 0.000 0.379
Pd 0.000 0.000 0.500
Pd 0.000 0.500 0.865
Pd 0.500 0.000 0.135
Pd 0.500 0.500 0.500

=====

9.
BaPmAgAs: optimized geometry, GGA-PBE.

Results
D(E_F) = 4.48 states/eV/cell
formation enthalpy at 0 K = -0.5282 eV per atom
V = 28.69 A^3/atom

abc: 5.454 5.454 5.454
angles: 60.00 60.00 60.00
Fractional coordinates of all 4 atoms:
Ba 0.000 0.000 0.000
Pm 0.500 0.500 0.500
Ag 0.250 0.250 0.250
As 0.750 0.750 0.750

=====

10.
Ba2AgAs3Pt4: optimized geometry, GGA-PBE.

Results
D(E_F) = 5.49 states/eV/cell
formation enthalpy at 0 K = -0.6470 eV per atom
V = 21.83 A^3/atom

abc: 4.611 4.611 10.264
angles: 90.00 90.00 90.00
Fractional coordinates of all 10 atoms:
Ba 0.000 0.500 0.248
Ba 0.500 0.000 0.752
Ag 0.500 0.500 0.000
As 0.000 0.000 0.000
As 0.000 0.500 0.620
As 0.500 0.000 0.380
Pt 0.000 0.000 0.500
Pt 0.000 0.500 0.865
Pt 0.500 0.000 0.135
Pt 0.500 0.500 0.500

=====

11.
Ba6Ag2AsRh: optimized geometry, GGA-PBE.

Results
D(E_F) = 18.83 states/eV/cell
formation enthalpy at 0 K = -0.3671 eV per atom
V = 42.46 A^3/atom

abc: 7.989 8.935 14.154
angles: 90.00 122.80 90.00
Fractional coordinates of all 20 atoms:
Ba 0.111 0.042 0.246
Ba 0.111 0.458 0.746
Ba 0.232 0.691 0.065
Ba 0.232 0.809 0.565
Ba 0.380 0.178 0.061
Ba 0.380 0.322 0.561
Ba 0.620 0.678 0.439
Ba 0.620 0.822 0.939
Ba 0.768 0.191 0.435
Ba 0.768 0.309 0.935
Ba 0.889 0.542 0.254
Ba 0.889 0.958 0.754
Ag 0.302 0.104 0.753
Ag 0.302 0.396 0.253
Ag 0.698 0.604 0.747
Ag 0.698 0.896 0.247
As 0.500 0.000 0.500
As 0.500 0.500 0.000
Rh 0.000 0.000 0.000
Rh 0.000 0.500 0.500

=====

12.
BaAgAsS4: optimized geometry, GGA-PBE.

Results
D(E_F) = 0.00 states/eV/cell
formation energy without anion corrections = -0.63 eV/atom
V = 31.35 A^3/atom

abc: 6.624 6.624 6.624
angles: 114.29 114.29 100.21
Fractional coordinates of all 7 atoms:
Ba 0.000 0.000 0.000
Ag 0.500 0.500 0.000
As 0.750 0.250 0.500
S 0.094 0.526 0.880
S 0.474 0.354 0.568
S 0.646 0.214 0.120
S 0.786 0.906 0.432

=====

The evaluated total magnetic moment for the records listed, in turn: 0.000; 0.000; 0.000; 0.000; 0.000; 0.000; 0.000; 0.000; 0.001; 0.000; 0.000; 0.000 μB/atom.